Arrangement w

This record from Alexandria via LeMat-Bulk describes a geometry-optimized CaIrCl structure. The functional is PBE-GGA.

The space group is P3m1 (No. 156) and the conventional cell measures 3.2651, 3.2651 and 7.2445 Å, with angles of 90.00, 90.00 and 120.00 degrees. The distinct sites, in fractional coordinates, are Ca at (0.0000, 0.0000, 0.0000), Ir at (0.3333, 0.6667, 0.6914) and Cl at (0.6667, 0.3333, 0.2544).

The volume is 22.3 A^3/atom. The calculation puts the density at 6.65 g/cm³.


Arrangement x

This record from Alexandria via LeMat-Bulk describes a geometry-optimized CaIrCl structure. The functional is PBE-GGA.

The space group is Imma (No. 74) and the conventional cell measures 5.406, 8.142 and 5.675 Å, with angles of 90.00, 90.00 and 90.00 degrees. The distinct sites, in fractional coordinates, are Ca at (0.000, 0.000, 0.000), Ir at (0.000, 0.250, 0.362) and Cl at (0.250, 0.250, 0.750).

The volume is 20.8 A^3/atom. The calculation puts the density at 7.12 g/cm³.


Winner for stability: arrangement x


Arrangement w

This record from Alexandria via LeMat-Bulk describes a geometry-optimized FeRu2Au structure. The functional is PBE-GGA.

The space group is C2/m (No. 12) and the conventional cell measures 9.110, 2.747 and 4.740 Å, with angles of 90.00, 102.13 and 90.00 degrees. The distinct sites, in fractional coordinates, are Fe at (0.000, 0.000, 0.000), Ru at (0.235, 0.500, 0.225) and Au at (0.000, 0.500, 0.500).

The volume is 14.5 A^3/atom. The calculation puts the density at 13.03 g/cm³.


Arrangement x

This record from Alexandria via LeMat-Bulk describes a geometry-optimized FeRu2Au structure. The functional is PBE-GGA.

The space group is Cmmm (No. 65) and the conventional cell measures 5.427, 7.665 and 2.785 Å, with angles of 90.00, 90.00 and 90.00 degrees. The distinct sites, in fractional coordinates, are Fe at (0.000, 0.000, 0.000), Ru at (0.250, 0.250, 0.500) and Au at (0.000, 0.500, 0.000).

The volume is 14.5 A^3/atom. The calculation puts the density at 13.04 g/cm³.


Winner for stability: arrangement w